# 1
# BeZnHg2 PBE relaxed
# * size of the total moment: 0.0 Bohr magnetons per cell
# * E: -1.074 eV/atom
data_BeZnHg2
_chemical_formula_sum 'Be1 Zn1 Hg2'
_cell_length_a 3.703
_cell_length_b 4.294
_cell_length_c 4.958
_cell_angle_alpha 90.00
_cell_angle_beta 100.90
_cell_angle_gamma 90.00
_symmetry_space_group_name_H-M 'P 1 m 1'
_symmetry_Int_Tables_number 6
loop_
_symmetry_equiv_pos_as_xyz
'x,y,z'
'x,-y,z'
loop_
_atom_site_label
_atom_site_fract_x
_atom_site_fract_y
_atom_site_fract_z
Be1 0.000 0.000 0.000
Zn1 0.730 0.500 0.768
Hg1 0.355 0.500 0.196
Hg2 0.941 0.000 0.491



# 2
# Be2ZnHg PBE relaxed
# * size of the total moment: 0.0 Bohr magnetons per cell
# * E: -1.834 eV/atom
data_Be2ZnHg
_chemical_formula_sum 'Be4 Zn2 Hg2'
_cell_length_a 3.956
_cell_length_b 3.956
_cell_length_c 6.869
_cell_angle_alpha 90.00
_cell_angle_beta 90.00
_cell_angle_gamma 90.00
_symmetry_space_group_name_H-M 'I 4/m m m'
_symmetry_Int_Tables_number 139
_symmetry_space_group_name_Hall '-I 4 2'
loop_
_atom_site_label
_atom_site_fract_x
_atom_site_fract_y
_atom_site_fract_z
Be1 0.000 0.500 0.250
Zn1 0.000 0.000 0.000
Hg1 0.000 0.000 0.500



# 3
# Be2ZnHg PBE relaxed
# * size of the total moment: 0.0 Bohr magnetons per cell
# * E: -1.838 eV/atom
data_Be2ZnHg
_chemical_formula_sum 'Be2 Zn1 Hg1'
_cell_length_a 3.888
_cell_length_b 3.888
_cell_length_c 3.566
_cell_angle_alpha 90.00
_cell_angle_beta 90.00
_cell_angle_gamma 90.00
_symmetry_space_group_name_H-M 'P 4/m m m'
_symmetry_Int_Tables_number 123
_symmetry_space_group_name_Hall '-P 4 2'
loop_
_atom_site_label
_atom_site_fract_x
_atom_site_fract_y
_atom_site_fract_z
Be1 0.000 0.500 0.000
Zn1 0.000 0.000 0.500
Hg1 0.500 0.500 0.500



# 4
# BeZnHg2 PBE relaxed
# * size of the total moment: 0.0 Bohr magnetons per cell
# * E: -0.990 eV/atom
data_BeZnHg2
_chemical_formula_sum 'Be4 Zn4 Hg8'
_cell_length_a 4.349
_cell_length_b 4.349
_cell_length_c 17.243
_cell_angle_alpha 90.00
_cell_angle_beta 90.00
_cell_angle_gamma 90.00
_symmetry_space_group_name_H-M 'I -4 2 d'
_symmetry_Int_Tables_number 122
_symmetry_space_group_name_Hall 'I -4 2bw'
loop_
_atom_site_label
_atom_site_fract_x
_atom_site_fract_y
_atom_site_fract_z
Be1 0.000 0.000 0.000
Zn1 0.000 0.000 0.500
Hg1 0.227 0.250 0.125



| no. | relative energy among the computed polymorphs (meV/atom) | DOS(E_F) (states/eV/f.u.) | ΔH_f (0 K) (eV per atom) |
| --- | --- | --- | --- |
| 1 | 96 | 1.67 | 0.327 |
| 2 | 39 | 0.79 | 0.423 |
| 3 | 36 | 0.65 | 0.419 |
| 4 | 180 | 1.40 | 0.410 |